Here is Pm2SmHo5Er after structural relaxation from Alexandria via LeMat-Bulk. Energies are from PBE.

Unit cell a=8.6817 b=8.6817 c=15.4298 alpha=90.00 beta=90.00 gamma=90.00
Last column: nearest neighbours and their distance in Å.
Space group I4/mcm (No. 140)
Unique sites:
Pm  0.1166  0.3834  0.0000 x8  1 Pm 2.86, 2 Ho 3.01
Sm  0.0000  0.0000  0.2500 x4  10 Ho 3.55-3.86
Ho  0.0000  0.0000  0.0000 x4  4 Pm 3.48, 8 Ho 3.77, 2 Sm 3.86
Ho  0.2105  0.2895  0.3618 x16  1 Pm 3.01, 1 Er 3.11
Er  0.0000  0.5000  0.2500 x4  4 Ho 3.11

Values from the calculation:
The calculation puts the final energy at -4.357 eV/atom. The magnetic moment is 0.00 μB per formula unit.